Be3MoPd | GGA-PBEsol | relaxed

Calculated values
The formation energy comes out at 6.73 eV per formula unit. For the calculated density, the calculation gives 5.40 g/cm³. Its crystal system is cubic. The space group is No. 221.

Cell lengths 4.1328, 4.1328, 4.1328 Å; angles 90.00, 90.00, 90.00 degrees
With the nearest neighbours (Å) after each atom.
Atoms (fractional coordinates):
Be1 0.0000 0.0000 0.5000  2 Mo 2.07
Be2 0.0000 0.5000 0.0000  2 Mo 2.07
Be3 0.5000 0.0000 0.0000  2 Mo 2.07
Mo1 0.0000 0.0000 0.0000  6 Be 2.07
Pd1 0.5000 0.5000 0.5000  12 Be 2.92

---

NbTl2CrB | GGA-PBEsol | relaxed

Calculated values
The formation energy comes out at 5.21 eV per formula unit. For the calculated density, the calculation gives 10.60 g/cm³. Its crystal system is tetragonal. The space group is No. 123.

Cell lengths 4.6969, 4.6969, 4.0068 Å; angles 90.00, 90.00, 90.00 degrees
With the nearest neighbours (Å) after each atom.
Atoms (fractional coordinates):
Nb1 0.0000 0.0000 0.0000  8 Tl 3.09, 4 Cr 3.32
Tl1 0.0000 0.5000 0.5000  2 B 2.35
Tl2 0.5000 0.0000 0.5000  2 B 2.35
Cr1 0.5000 0.5000 0.0000  2 B 2.00
B1 0.5000 0.5000 0.5000  2 Cr 2.00

---

LiS2ClF | GGA-PBEsol | relaxed

Calculated values
For the calculated density, the calculation gives 2.63 g/cm³. Its crystal system is tetragonal. The space group is No. 123. The calculation puts the raw formation energy at 1.5 eV per formula unit.

Cell lengths 4.3048, 4.3048, 4.2793 Å; angles 90.00, 90.00, 90.00 degrees
With the nearest neighbours (Å) after each atom.
Atoms (fractional coordinates):
Li1 0.0000 0.0000 0.0000  2 Cl 2.14, 4 S 2.15
S1 0.0000 0.5000 0.0000  2 Li 2.15
S2 0.5000 0.0000 0.0000  2 Li 2.15
Cl1 0.0000 0.0000 0.5000  2 Li 2.14
F1 0.5000 0.5000 0.5000  8 S 3.03, 4 Cl 3.04

---

LiTlHg | GGA-PBEsol | relaxed

Calculated values
The formation energy comes out at -0.69 eV per formula unit. The energy above the most stable polymorph in this dataset is 0 meV/atom. For the calculated density, the calculation gives 10.77 g/cm³. Its crystal system is tetragonal. The space group is No. 107.

Cell lengths 6.4178, 6.4178, 6.4178 Å; angles 150.61, 150.61, 42.04 degrees
With the nearest neighbours (Å) after each atom.
Atoms (fractional coordinates):
Li1 0.0000 0.0000 0.0000  4 Hg 2.79, 4 Tl 3.06
Tl1 0.3314 0.3314 0.0000  4 Li 3.06, 4 Tl 3.26, 4 Hg 3.33
Hg1 0.6309 0.6309 0.0000  4 Li 2.79

---

ZrSnRh2 | GGA-PBEsol | relaxed

Calculated values
The formation energy comes out at -3.03 eV per formula unit. For the calculated density, the calculation gives 10.33 g/cm³. Its crystal system is cubic. The space group is No. 225.

Cell lengths 4.5548, 4.5548, 4.5548 Å; angles 60.00, 60.00, 60.00 degrees
With the nearest neighbours (Å) after each atom.
Atoms (fractional coordinates):
Zr1 0.0000 0.0000 0.0000  8 Rh 2.79
Sn1 0.5000 0.5000 0.5000  8 Rh 2.79
Rh1 0.2500 0.2500 0.2500  4 Zr 2.79, 4 Sn 2.79
Rh2 0.7500 0.7500 0.7500  4 Zr 2.79, 4 Sn 2.79

---

ReTcSe | GGA-PBEsol | relaxed

Calculated values
For the calculated density, the calculation gives 11.75 g/cm³. Its crystal system is cubic. The space group is No. 216. The calculation puts the raw formation energy at 1.4 eV per formula unit.

Cell lengths 4.1713, 4.1713, 4.1713 Å; angles 60.00, 60.00, 60.00 degrees
With the nearest neighbours (Å) after each atom.
Atoms (fractional coordinates):
Re1 0.0000 0.0000 0.0000  4 Se 2.55, 4 Tc 2.55
Tc1 0.7500 0.7500 0.7500  4 Re 2.55
Se1 0.2500 0.2500 0.2500  4 Re 2.55

---

As4PtAu | GGA-PBEsol | relaxed

Calculated values
The formation energy comes out at 3.98 eV per formula unit. For the calculated density, the calculation gives 10.43 g/cm³. Its crystal system is cubic. The space group is No. 216.

Cell lengths 5.3798, 5.3798, 5.3798 Å; angles 60.00, 60.00, 60.00 degrees
With the nearest neighbours (Å) after each atom.
Atoms (fractional coordinates):
As1 0.3771 0.3771 0.3771  6 As 2.64-2.74
As2 0.3771 0.3771 0.8686  6 As 2.64-2.74
As3 0.3771 0.8686 0.3771  6 As 2.64-2.74
As4 0.8686 0.3771 0.3771  6 As 2.64-2.74
Pt1 0.0000 0.0000 0.0000  12 As 3.16, 4 Au 3.29
Au1 0.7500 0.7500 0.7500  12 As 3.15, 4 Pt 3.29

---

Tl2HgBr | GGA-PBEsol | relaxed

Calculated values
The energy above the most stable polymorph in this dataset is 3 meV/atom. For the calculated density, the calculation gives 9.34 g/cm³. Its crystal system is tetragonal. The space group is No. 123. The calculation puts the raw formation energy at -1.2 eV per formula unit.

Cell lengths 4.4422, 4.4422, 6.2097 Å; angles 90.00, 90.00, 90.00 degrees
With the nearest neighbours (Å) after each atom.
Atoms (fractional coordinates):
Tl1 0.0000 0.0000 0.0000  2 Hg 3.10, 4 Br 3.14
Tl2 0.5000 0.5000 0.5000  2 Br 3.10, 4 Hg 3.14
Hg1 0.0000 0.0000 0.5000  6 Tl 3.10-3.14
Br1 0.5000 0.5000 0.0000  6 Tl 3.10-3.14

---

> Number 5 is which compound?

ZrSnRh2

---

> Which value of calculated density does entry 4 give?

10.77 g/cm³

---

> Number 1 is which compound?

Be3MoPd